ScFeMo2 PBE optimized geometry; crystal system = orthorhombic; Fermi-level density of states = 3.5 states/eV/cell; calculated density = 7.7 g/cm3; energy of formation = 14.2 kJ/mol of atoms
1.0
-0.3182 0.5980 -5.0854
-1.8672 -2.0880 -4.2982
-3.9124 1.7806 -1.6231
Fe Mo Sc
1 2 1
direct
0.2643 0.2643 0.2357
0.9973 0.9973 0.0027
0.7337 0.7337 0.7662
0.5047 0.5047 0.4954

***

Ca2TlHPt PBE optimized geometry; crystal system = tetragonal; E_tot = -3.712 eV per atom; Fermi-level density of states = 3.3 states/eV/cell; calculated density = 7.8 g/cm3
1.0
-4.8792 -0.2116 1.9898
1.0948 -4.6718 2.1878
1.1649 1.6951 3.0367
H Tl Ca Pt
1 1 2 1
direct
0.0000 0.0000 0.0000
0.5000 0.5000 0.5000
0.0000 0.5000 0.0000
0.5000 0.0000 0.0000
0.0000 0.0000 0.5000

***

YCr2HPb PBE optimized geometry; crystal system = tetragonal; E_tot = -6.315 eV per atom; Fermi-level density of states = 4.0 states/eV/cell; calculated density = 7.9 g/cm3
1.0
-2.6994 -0.7924 3.3776
3.4164 -1.2378 2.4401
0.5134 4.1412 1.3819
Pb Y H Cr
1 1 1 2
direct
0.5000 0.5000 0.5000
0.0000 0.5000 0.0000
0.0000 0.0000 0.0000
0.0000 0.0000 0.5000
0.5000 0.0000 0.0000

***

HoEr9In2 PBE optimized geometry; crystal system = tetragonal; Fermi-level density of states = 13.1 states/eV/cell; calculated density = 9.2 g/cm3; energy of formation = -15.8 kJ/mol of atoms
1.0
4.8316 0.0000 0.0000
0.0000 4.8316 0.0000
0.0000 0.0000 14.7636
Ho Er In
1 9 2
direct
0.0000 0.0000 0.0000
0.5000 0.5000 0.0000
0.5000 0.5000 0.3375
0.5000 0.5000 0.6625
0.5000 0.0000 0.1719
0.5000 0.0000 0.5000
0.5000 0.0000 0.8281
0.0000 0.5000 0.1719
0.0000 0.5000 0.5000
0.0000 0.5000 0.8281
0.0000 0.0000 0.3388
0.0000 0.0000 0.6612